1.
A relaxed structure of Gd2Mg2O5, computed with GGA-PBE.

a = 3.9034 Å, b = 3.9034 Å, c = 7.2939 Å
α = 90.00°, β = 90.00°, γ = 90.00°
Closest atoms and distances in Å follow each position.
Positions (direct):
1 Gd 0.0000 0.0000 0.0000  8 O 2.44
2 Gd 0.0000 0.0000 0.5000  12 O 2.76-2.92
3 Mg 0.5000 0.5000 0.2399  5 O 1.90-1.97
4 Mg 0.5000 0.5000 0.7601  5 O 1.90-1.97
5 O 0.5000 0.0000 0.2015  2 Mg 1.97
6 O 0.5000 0.0000 0.7985  2 Mg 1.97
7 O 0.0000 0.5000 0.2015  2 Mg 1.97
8 O 0.0000 0.5000 0.7985  2 Mg 1.97
9 O 0.5000 0.5000 0.5000  2 Mg 1.90

Summary:
- Final energy: -9.038 eV per atom

2.
A relaxed structure of Gd3Mg5O12, computed with GGA-PBE.

a = 11.0242 Å, b = 11.0242 Å, c = 11.0242 Å
α = 109.47°, β = 109.47°, γ = 109.47°
Closest atoms and distances in Å follow each position.
Positions (direct):
1 Gd 0.7500 0.3750 0.1250  8 O 2.41-2.42
2 Gd 0.8750 0.7500 0.1250  8 O 2.41-2.42
3 Gd 0.3750 0.7500 0.6250  8 O 2.41-2.42
4 Gd 0.2500 0.1250 0.3750  8 O 2.41-2.42
5 Gd 0.8750 0.1250 0.2500  8 O 2.41-2.42
6 Gd 0.3750 0.6250 0.2500  8 O 2.41-2.42
7 Gd 0.6250 0.3750 0.7500  8 O 2.41-2.42
8 Gd 0.1250 0.8750 0.7500  8 O 2.41-2.42
9 Gd 0.7500 0.8750 0.6250  8 O 2.41-2.42
10 Gd 0.6250 0.2500 0.3750  8 O 2.41-2.42
11 Gd 0.1250 0.2500 0.8750  8 O 2.41-2.42
12 Gd 0.2500 0.6250 0.8750  8 O 2.41-2.42
13 Mg 0.1250 0.3750 0.2500  4 O 1.95
14 Mg 0.0000 0.5000 0.0000  6 O 2.14
15 Mg 0.0000 0.0000 0.0000  6 O 2.14
16 Mg 0.3750 0.2500 0.1250  4 O 1.95
17 Mg 0.5000 0.0000 0.5000  6 O 2.14
18 Mg 0.5000 0.5000 0.0000  6 O 2.14
19 Mg 0.1250 0.7500 0.3750  4 O 1.95
20 Mg 0.7500 0.1250 0.8750  4 O 1.95
21 Mg 0.7500 0.6250 0.3750  4 O 1.95
22 Mg 0.3750 0.1250 0.7500  4 O 1.95
23 Mg 0.6250 0.8750 0.2500  4 O 1.95
24 Mg 0.5000 0.5000 0.5000  6 O 2.14
25 Mg 0.5000 0.0000 0.0000  6 O 2.14
26 Mg 0.0000 0.0000 0.5000  6 O 2.14
27 Mg 0.2500 0.3750 0.6250  4 O 1.95
28 Mg 0.2500 0.8750 0.1250  4 O 1.95
29 Mg 0.0000 0.5000 0.5000  6 O 2.14
30 Mg 0.8750 0.2500 0.6250  4 O 1.95
31 Mg 0.6250 0.7500 0.8750  4 O 1.95
32 Mg 0.8750 0.6250 0.7500  4 O 1.95
33 O 0.7173 0.1274 0.0391  2 Mg 1.95-2.14
34 O 0.3219 0.5391 0.4118  2 Mg 1.95-2.14
35 O 0.9609 0.3726 0.2827  2 Mg 1.95-2.14
36 O 0.5391 0.2173 0.1274  2 Mg 1.95-2.14
37 O 0.5899 0.7173 0.6781  2 Mg 1.95-2.14
38 O 0.9609 0.5882 0.1781  2 Mg 1.95-2.14
39 O 0.3219 0.7827 0.4101  2 Mg 1.95-2.14
40 O 0.0882 0.9101 0.1274  2 Mg 1.95-2.14
41 O 0.5882 0.9609 0.6781  2 Mg 1.95-2.14
42 O 0.7173 0.5899 0.1781  2 Mg 1.95-2.14
43 O 0.7827 0.4609 0.3726  2 Mg 1.95-2.14
44 O 0.8219 0.9118 0.0391  2 Mg 1.95-2.14
45 O 0.1274 0.7173 0.5391  2 Mg 1.95-2.14
46 O 0.3726 0.4118 0.0899  2 Mg 1.95-2.14
47 O 0.0899 0.9118 0.3726  2 Mg 1.95-2.14
48 O 0.4101 0.1274 0.5882  2 Mg 1.95-2.14
49 O 0.0899 0.1781 0.2173  2 Mg 1.95-2.14
50 O 0.4609 0.6781 0.0882  2 Mg 1.95-2.14
51 O 0.8219 0.9101 0.2827  2 Mg 1.95-2.14
52 O 0.1274 0.4101 0.0882  2 Mg 1.95-2.14
53 O 0.3726 0.9609 0.7827  2 Mg 1.95-2.14
54 O 0.5882 0.6274 0.4101  2 Mg 1.95-2.14
55 O 0.9118 0.8219 0.5391  2 Mg 1.95-2.14
56 O 0.7827 0.3219 0.9101  2 Mg 1.95-2.14
57 O 0.4118 0.3726 0.5899  2 Mg 1.95-2.14
58 O 0.0882 0.1781 0.4609  2 Mg 1.95-2.14
59 O 0.2173 0.6781 0.0899  2 Mg 1.95-2.14
60 O 0.1781 0.0899 0.7173  2 Mg 1.95-2.14
61 O 0.6274 0.0391 0.2173  2 Mg 1.95-2.14
62 O 0.8726 0.5899 0.9118  2 Mg 1.95-2.14
63 O 0.5391 0.3219 0.9118  2 Mg 1.95-2.14
64 O 0.5899 0.8726 0.4118  2 Mg 1.95-2.14
65 O 0.9101 0.8219 0.7827  2 Mg 1.95-2.14
66 O 0.9101 0.0882 0.6274  2 Mg 1.95-2.14
67 O 0.8726 0.2827 0.4609  2 Mg 1.95-2.14
68 O 0.1781 0.0882 0.9609  2 Mg 1.95-2.14
69 O 0.6274 0.5882 0.9101  2 Mg 1.95-2.14
70 O 0.4118 0.0391 0.3219  2 Mg 1.95-2.14
71 O 0.2827 0.4101 0.8219  2 Mg 1.95-2.14
72 O 0.2173 0.5391 0.6274  2 Mg 1.95-2.14
73 O 0.9118 0.0899 0.8726  2 Mg 1.95-2.14
74 O 0.6781 0.2173 0.5899  2 Mg 1.95-2.14
75 O 0.4609 0.7827 0.8726  2 Mg 1.95-2.14
76 O 0.0391 0.4118 0.8219  2 Mg 1.95-2.14
77 O 0.4101 0.2827 0.3219  2 Mg 1.95-2.14
78 O 0.0391 0.6274 0.7173  2 Mg 1.95-2.14
79 O 0.6781 0.4609 0.5882  2 Mg 1.95-2.14
80 O 0.2827 0.8726 0.9609  2 Mg 1.95-2.14

Summary:
- D(E_F): 1.1856 states/eV per atom
- Final energy: -7.811 eV per atom

3.
A relaxed structure of Gd3MgOs, computed with GGA-PBE.

a = 5.4384 Å, b = 5.4384 Å, c = 5.4384 Å
α = 90.00°, β = 90.00°, γ = 90.00°
Closest atoms and distances in Å follow each position.
Positions (direct):
1 Mg 0.5000 0.5000 0.5000  12 Gd 3.85
2 Gd 0.0000 0.5000 0.0000  2 Os 2.72
3 Gd 0.0000 0.0000 0.5000  2 Os 2.72
4 Gd 0.5000 0.0000 0.0000  2 Os 2.72
5 Os 0.0000 0.0000 0.0000  6 Gd 2.72

Summary:
- D(E_F): 0.7713 states/eV per atom
- Energy of formation: -0.02 eV/atom
- Final energy: -11.035 eV per atom

4.
A relaxed structure of PrGdMgOs, computed with GGA-PBE.

a = 5.1183 Å, b = 5.1183 Å, c = 5.1183 Å
α = 60.00°, β = 60.00°, γ = 60.00°
Closest atoms and distances in Å follow each position.
Positions (direct):
1 Pr 0.0000 0.0000 0.0000  4 Os 3.13, 4 Mg 3.13
2 Mg 0.2500 0.2500 0.2500  4 Gd 3.13, 4 Pr 3.13
3 Gd 0.5000 0.5000 0.5000  4 Mg 3.13, 4 Os 3.13
4 Os 0.7500 0.7500 0.7500  4 Pr 3.13, 4 Gd 3.13

Summary:
- D(E_F): 0.8687 states/eV per atom
- Energy of formation: -0.02 eV/atom
- Final energy: -7.937 eV per atom

5.
A relaxed structure of GdMgScOs, computed with GGA-PBE.

a = 4.8796 Å, b = 4.8796 Å, c = 4.8796 Å
α = 60.00°, β = 60.00°, γ = 60.00°
Closest atoms and distances in Å follow each position.
Positions (direct):
1 Sc 0.0000 0.0000 0.0000  4 Os 2.99, 4 Mg 2.99
2 Mg 0.2500 0.2500 0.2500  4 Gd 2.99, 4 Sc 2.99
3 Gd 0.5000 0.5000 0.5000  4 Mg 2.99, 4 Os 2.99
4 Os 0.7500 0.7500 0.7500  4 Sc 2.99, 4 Gd 2.99

Summary:
- D(E_F): 0.8907 states/eV per atom
- Energy of formation: -0.15 eV/atom
- Final energy: -8.462 eV per atom

6.
A relaxed structure of TbGdMgOs, computed with GGA-PBE.

a = 5.0250 Å, b = 5.0250 Å, c = 5.0250 Å
α = 60.00°, β = 60.00°, γ = 60.00°
Closest atoms and distances in Å follow each position.
Positions (direct):
1 Tb 0.2500 0.2500 0.2500  4 Mg 3.08, 4 Os 3.08
2 Mg 0.0000 0.0000 0.0000  4 Gd 3.08, 4 Tb 3.08
3 Gd 0.7500 0.7500 0.7500  4 Mg 3.08, 4 Os 3.08
4 Os 0.5000 0.5000 0.5000  4 Gd 3.08, 4 Tb 3.08

Summary:
- D(E_F): 0.7730 states/eV per atom
- Energy of formation: -0.11 eV/atom
- Final energy: -7.996 eV per atom

7.
A relaxed structure of GdThMgOs, computed with GGA-PBE.

a = 5.1197 Å, b = 5.1197 Å, c = 5.1197 Å
α = 60.00°, β = 60.00°, γ = 60.00°
Closest atoms and distances in Å follow each position.
Positions (direct):
1 Mg 0.0000 0.0000 0.0000  4 Gd 3.14, 4 Th 3.14
2 Gd 0.2500 0.2500 0.2500  4 Os 3.14, 4 Mg 3.14
3 Os 0.5000 0.5000 0.5000  4 Gd 3.14, 4 Th 3.14
4 Th 0.7500 0.7500 0.7500  4 Os 3.14, 4 Mg 3.14

Summary:
- D(E_F): 0.8807 states/eV per atom
- Energy of formation: -0.06 eV/atom
- Final energy: -8.641 eV per atom

8.
A relaxed structure of GdTmMgOs, computed with GGA-PBE.

a = 4.9827 Å, b = 4.9827 Å, c = 4.9827 Å
α = 60.00°, β = 60.00°, γ = 60.00°
Closest atoms and distances in Å follow each position.
Positions (direct):
1 Gd 0.2500 0.2500 0.2500  4 Mg 3.05, 4 Os 3.05
2 Mg 0.0000 0.0000 0.0000  4 Tm 3.05, 4 Gd 3.05
3 Tm 0.7500 0.7500 0.7500  4 Mg 3.05, 4 Os 3.05
4 Os 0.5000 0.5000 0.5000  4 Gd 3.05, 4 Tm 3.05

Summary:
- D(E_F): 0.8231 states/eV per atom
- Energy of formation: -0.14 eV/atom
- Final energy: -7.988 eV per atom

9.
A relaxed structure of GdYMgOs, computed with GGA-PBE.

a = 5.0230 Å, b = 5.0230 Å, c = 5.0230 Å
α = 60.00°, β = 60.00°, γ = 60.00°
Closest atoms and distances in Å follow each position.
Positions (direct):
1 Y 0.7500 0.7500 0.7500  4 Os 3.08, 4 Mg 3.08
2 Mg 0.5000 0.5000 0.5000  4 Y 3.08, 4 Gd 3.08
3 Gd 0.2500 0.2500 0.2500  4 Mg 3.08, 4 Os 3.08
4 Os 0.0000 0.0000 0.0000  4 Gd 3.08, 4 Y 3.08

Summary:
- D(E_F): 0.8242 states/eV per atom
- Energy of formation: -0.12 eV/atom
- Final energy: -8.458 eV per atom

10.
A relaxed structure of GdMg4Pa, computed with GGA-PBE.

a = 5.9779 Å, b = 5.9779 Å, c = 5.9779 Å
α = 60.00°, β = 60.00°, γ = 60.00°
Closest atoms and distances in Å follow each position.
Positions (direct):
1 Gd 0.0000 0.0000 0.0000  12 Mg 3.51, 4 Pa 3.66
2 Mg 0.6245 0.6245 0.1265  6 Mg 2.98-3.00
3 Mg 0.6245 0.1265 0.6245  6 Mg 2.98-3.00
4 Mg 0.6245 0.6245 0.6245  6 Mg 2.98-3.00
5 Mg 0.1265 0.6245 0.6245  6 Mg 2.98-3.00
6 Pa 0.2500 0.2500 0.2500  12 Mg 3.50, 4 Gd 3.66

Summary:
- D(E_F): 1.4119 states/eV per atom
- Energy of formation: 0.15 eV/atom
- Final energy: -4.842 eV per atom

11.
A relaxed structure of GdMg2Pa, computed with GGA-PBE.

a = 3.1546 Å, b = 3.1546 Å, c = 12.4685 Å
α = 82.73°, β = 82.73°, γ = 60.00°
Closest atoms and distances in Å follow each position.
Positions (direct):
1 Gd 0.5000 0.5000 0.5000  6 Gd 3.15, 6 Mg 3.45
2 Mg 0.0876 0.0876 0.7371  6 Mg 3.15, 1 Pa 3.24, 3 Gd 3.45
3 Mg 0.9124 0.9124 0.2629  6 Mg 3.15, 1 Pa 3.24, 3 Gd 3.45
4 Pa 0.0000 0.0000 0.0000  6 Pa 3.15, 2 Mg 3.24

Summary:
- D(E_F): 1.5024 states/eV per atom
- Energy of formation: 0.31 eV/atom
- Final energy: -6.378 eV per atom

12.
A relaxed structure of PmGdMgPa, computed with GGA-PBE.

a = 5.4472 Å, b = 5.4472 Å, c = 5.4472 Å
α = 60.00°, β = 60.00°, γ = 60.00°
Closest atoms and distances in Å follow each position.
Positions (direct):
1 Gd 0.7500 0.7500 0.7500  4 Pa 3.34, 4 Mg 3.34
2 Mg 0.0000 0.0000 0.0000  4 Gd 3.34, 4 Pm 3.34
3 Pa 0.5000 0.5000 0.5000  4 Pm 3.34, 4 Gd 3.34
4 Pm 0.2500 0.2500 0.2500  4 Mg 3.34, 4 Pa 3.34

Summary:
- D(E_F): 2.1281 states/eV per atom
- Energy of formation: 0.33 eV/atom
- Final energy: -7.147 eV per atom